## Cs4Nd3DySe8 (PBE-GGA)

Data for a relaxed structure of Cs4Nd3DySe8.

POSCAR file:
```
Cs4Nd3DySe8
1.0
8.740 0.000 0.000
0.000 9.777 0.723
-4.370 -4.367 6.183
Se Dy Cs Nd
8 1 4 3
direct
0.774 0.312 0.548
0.269 0.308 0.539
0.263 0.312 0.037
0.226 0.688 0.452
0.226 0.688 0.963
0.731 0.692 0.461
0.774 0.312 0.037
0.737 0.688 0.963
0.000 0.500 0.000
0.000 0.000 0.000
0.500 0.000 0.500
0.000 0.000 0.500
0.500 0.000 0.000
0.000 0.500 0.500
0.500 0.500 0.500
0.500 0.500 0.000
```

## Properties
total moment = 0.000 μB/atom
symmetry = R-3m, No. 166
DFT total energy = -4.86 eV per atom
formation energy (no corrections) = -167 kJ/mol of atoms